1.
! MnTl3Zn (GGA-PBE, optimized geometry); values from VASP
! Distance to the lowest polymorph of the same formula: 0 meV/atom
! Energy of formation: 0.452 eV per atom
! Energy: -3.056 eV per atom
&SYSTEM
  ibrav = 0, nat = 5, ntyp = 3
/
ATOMIC_SPECIES
Tl 204.38 Tl.upf
Mn 54.94 Mn.upf
Zn 65.41 Zn.upf
CELL_PARAMETERS angstrom
-0.627 -1.667 -4.936
-0.945 -4.853 1.759
-5.124 1.099 0.279
ATOMIC_POSITIONS crystal
Tl 0.000 0.500 0.000
Tl 0.000 0.000 0.500
Tl 0.500 0.000 0.000
Mn 0.000 0.000 0.000
Zn 0.500 0.500 0.500

2.
! MgTc2PtBr (GGA-PBE, optimized geometry); values from VASP
! Formation energy from raw total energies: 1.080 eV/atom
! Energy: -4.928 eV per atom
&SYSTEM
  ibrav = 0, nat = 5, ntyp = 4
/
ATOMIC_SPECIES
Mg 24.30 Mg.upf
Br 79.90 Br.upf
Tc 98.00 Tc.upf
Pt 195.08 Pt.upf
CELL_PARAMETERS angstrom
-4.410 1.017 2.051
-2.239 -0.989 -4.324
-0.487 -4.859 1.364
ATOMIC_POSITIONS crystal
Mg 0.000 0.000 0.500
Br 0.500 0.500 0.500
Tc 0.000 0.500 0.000
Tc 0.500 0.000 0.000
Pt 0.000 0.000 0.000

3.
! Sn2HgH4 (GGA-PBE, optimized geometry); values from VASP
! Energy: -2.791 eV per atom
&SYSTEM
  ibrav = 0, nat = 7, ntyp = 3
/
ATOMIC_SPECIES
Sn 118.71 Sn.upf
Hg 200.59 Hg.upf
H 1.01 H.upf
CELL_PARAMETERS angstrom
2.963 -0.118 -0.196
0.125 3.850 -0.332
-0.905 -1.100 11.191
ATOMIC_POSITIONS crystal
Sn 0.239 0.174 0.336
Sn 0.761 0.826 0.664
Hg 0.000 0.500 0.000
H 0.150 0.085 0.174
H 0.743 0.310 0.635
H 0.850 0.915 0.826
H 0.257 0.690 0.365

4.
! Ce4ErPa3N8 (GGA-PBE, optimized geometry); values from VASP
! Formation energy from raw total energies: -1.622 eV/atom
! Energy: -9.334 eV per atom
&SYSTEM
  ibrav = 0, nat = 16, ntyp = 4
/
ATOMIC_SPECIES
Ce 140.12 Ce.upf
Er 167.26 Er.upf
Pa 231.04 Pa.upf
N 14.01 N.upf
CELL_PARAMETERS angstrom
7.042 0.000 0.000
0.000 7.070 0.015
-3.521 -3.517 4.981
ATOMIC_POSITIONS crystal
Ce 0.500 0.000 0.000
Ce 0.500 0.000 0.500
Ce 0.000 0.000 0.000
Ce 0.000 0.000 0.500
Er 0.000 0.500 0.000
Pa 0.500 0.500 0.000
Pa 0.500 0.500 0.500
Pa 0.000 0.500 0.500
N 0.244 0.726 0.982
N 0.244 0.726 0.489
N 0.258 0.274 0.516
N 0.737 0.726 0.982
N 0.263 0.274 0.018
N 0.742 0.726 0.484
N 0.756 0.274 0.511
N 0.756 0.274 0.018

5.
! FeBAsC (GGA-PBE, optimized geometry); values from VASP
! Distance to the lowest polymorph of the same formula: 406 meV/atom
! Energy of formation: 0.531 eV per atom
! Energy: -6.723 eV per atom
&SYSTEM
  ibrav = 0, nat = 4, ntyp = 4
/
ATOMIC_SPECIES
C 12.01 C.upf
As 74.92 As.upf
B 10.81 B.upf
Fe 55.84 Fe.upf
CELL_PARAMETERS angstrom
3.294 0.011 0.002
1.639 3.252 -0.031
1.640 0.876 4.309
ATOMIC_POSITIONS crystal
C 0.921 0.131 0.822
As 0.606 0.387 0.195
B 0.004 0.311 0.475
Fe 0.618 0.847 0.711

6.
! PmAs3PtRh2 (GGA-PBE, optimized geometry); values from VASP
! Energy of formation: -0.479 eV per atom
! Energy: -6.113 eV per atom
&SYSTEM
  ibrav = 0, nat = 14, ntyp = 4
/
ATOMIC_SPECIES
Pm 145.00 Pm.upf
As 74.92 As.upf
Pt 195.08 Pt.upf
Rh 102.91 Rh.upf
CELL_PARAMETERS angstrom
7.789 0.378 0.270
4.091 6.639 0.270
4.091 2.417 6.189
ATOMIC_POSITIONS crystal
Pm 0.737 0.737 0.737
Pm 0.263 0.263 0.263
As 0.197 0.767 0.767
As 0.767 0.197 0.767
As 0.767 0.767 0.197
As 0.803 0.233 0.233
As 0.233 0.803 0.233
As 0.233 0.233 0.803
Pt 0.406 0.406 0.406
Pt 0.594 0.594 0.594
Rh 0.000 0.000 0.000
Rh 0.500 0.000 0.000
Rh 0.000 0.500 0.000
Rh 0.000 0.000 0.500